1.
VASP calculation (GGA-PBE) on crystalline TlSiSb2 at its relaxed geometry.

The total magnetization comes out at 0.00 μB/f.u. As for the formation energy from raw total energies: 0.443 eV per atom. Its calculated density is 7.60 g/cm3. The distance to the lowest polymorph of the same formula comes out at 0.269 eV per atom. The uncorrected energy comes out at -14.262 eV for the cell shown. The density of states at the Fermi level comes out at 1.4 states/eV/f.u.

POSCAR file:
```
TlSiSb2
1.0
5.930 -0.112 0.000
-2.300 5.467 0.000
0.000 0.000 3.232
Sb Si Tl
2 1 1
Cartesian
0.000 0.000 0.000
1.815 2.678 0.000
2.965 -0.056 1.616
-1.150 2.733 1.616
```

=====

2.
VASP calculation (GGA-PBE) on crystalline YIr2Pt at its relaxed geometry.

The total magnetization comes out at 0.00 μB/f.u. Its calculated density is 16.15 g/cm3. The distance to the lowest polymorph of the same formula comes out at 0.372 eV per atom. The uncorrected energy comes out at -30.937 eV for the cell shown. The density of states at the Fermi level comes out at 4.5 states/eV/f.u.

POSCAR file:
```
YIr2Pt
1.0
-2.337 -1.714 0.084
1.556 -2.057 1.324
-2.040 3.135 7.268
Ir Pt Y
2 1 1
Cartesian
-0.053 0.082 0.191
-0.881 -1.131 2.453
-0.985 1.513 3.508
-1.921 0.467 6.158
```

=====

3.
VASP calculation (GGA-PBE) on crystalline CsCaZnTe at its relaxed geometry.

The total magnetization comes out at 0.00 μB/f.u. As for the formation energy from raw total energies: -0.476 eV per atom. Its calculated density is 3.23 g/cm3. The distance to the lowest polymorph of the same formula comes out at 0.190 eV per atom. The uncorrected energy comes out at -9.173 eV for the cell shown. The density of states at the Fermi level comes out at 2.7 states/eV/f.u.

POSCAR file:
```
CsCaZnTe
1.0
-2.467 -4.032 3.445
4.007 -1.542 1.064
0.287 4.614 5.605
Cs Zn Te Ca
1 1 1 1
Cartesian
2.287 3.776 6.056
-1.010 1.575 6.085
-1.184 -1.219 2.691
0.903 -0.642 4.861
```

=====

4.
VASP calculation (GGA-PBE) on crystalline Ce4Pm3Rh4 at its relaxed geometry.

The total magnetization comes out at 0.00 μB/f.u. Its calculated density is 8.73 g/cm3. The uncorrected energy comes out at -73.145 eV for the cell shown. The density of states at the Fermi level comes out at 17.6 states/eV/f.u.

POSCAR file:
```
Ce4Pm3Rh4
1.0
-2.365 0.626 2.768
-5.332 -7.586 -2.840
7.855 -0.997 4.473
Ce Pm Rh
4 3 4
Cartesian
3.726 -1.446 3.511
-1.429 -3.466 2.029
-3.568 -6.511 0.889
1.586 -4.490 2.372
0.890 -0.994 0.985
-0.732 -6.963 3.415
-2.666 -3.793 -1.420
-0.942 -5.719 0.489
1.100 -2.238 3.912
-5.286 -5.524 -0.802
-2.412 -1.435 0.729
```

=====

5.
VASP calculation (GGA-PBE) on crystalline K2ZrTlCl8 at its relaxed geometry.

The total magnetization comes out at 0.06 μB/f.u. As for the formation energy from raw total energies: -1.571 eV per atom. Its calculated density is 2.67 g/cm3. The uncorrected energy comes out at -46.733 eV for the cell shown. The density of states at the Fermi level comes out at 4.4 states/eV/f.u.

POSCAR file:
```
K2ZrTlCl8
1.0
-1.749 -5.973 -2.986
-1.002 -2.344 6.172
-8.453 2.658 -0.361
K Zr Tl Cl
2 1 1 8
Cartesian
-7.799 -2.138 1.318
-3.405 -3.522 1.508
0.000 0.000 0.000
-4.226 1.329 -0.181
-2.749 -2.095 4.390
-10.453 -3.329 2.434
-3.456 -5.135 -1.351
-8.455 -3.565 -1.564
-0.751 -2.332 0.391
-7.748 -0.525 4.177
-6.176 -4.524 2.361
-5.028 -1.136 0.465
```

=====

6.
VASP calculation (GGA-PBE) on crystalline ErTmCuPt at its relaxed geometry.

The total magnetization comes out at 0.00 μB/f.u. Its calculated density is 11.61 g/cm3. The distance to the lowest polymorph of the same formula comes out at 0.000 eV per atom. The uncorrected energy comes out at -22.547 eV for the cell shown. The density of states at the Fermi level comes out at 2.1 states/eV/f.u.

POSCAR file:
```
ErTmCuPt
1.0
-1.421 -1.658 -3.003
3.473 -2.752 -0.125
-1.820 -2.502 4.538
Er Tm Cu Pt
1 1 1 1
Cartesian
-0.705 -0.927 0.845
-0.804 -4.612 0.630
-2.128 -2.800 2.553
0.625 -2.732 -1.084
```